Below is a relaxed ScTcAg crystal, with properties calculated at the PBE level.

Unit cell a=4.726 b=4.726 c=2.700 alpha=90.00 beta=90.00 gamma=120.00
Element x y z (fractional)
Sc (0.000, 0.000, 0.000)
Tc (0.333, 0.667, 0.365)
Ag (0.667, 0.333, 0.725)

## Properties
For the relative energy among the computed polymorphs, the calculation gives 71 meV per atom. For the total magnetization, the calculation gives 0.0 μB per cell. Its space group is No. 156. Its total energy is -18.8 eV per formula unit.

***

Below is a relaxed ScTc2Ag crystal, with properties calculated at the PBE level.

Unit cell a=2.738 b=2.738 c=9.214 alpha=90.00 beta=90.00 gamma=107.09
Element x y z (fractional)
Sc (0.000, 0.000, 0.000)
Tc (0.500, 0.500, 0.246)
Tc (0.500, 0.500, 0.754)
Ag (0.000, 0.000, 0.500)

## Properties
For the relative energy among the computed polymorphs, the calculation gives 334 meV per atom. For the total magnetization, the calculation gives 0.0 μB per cell. Its space group is No. 65. Its total energy is -28.7 eV per formula unit.

***

Below is a relaxed Sc2TcAg crystal, with properties calculated at the PBE level.

Unit cell a=5.295 b=5.295 c=4.613 alpha=106.92 beta=106.92 gamma=37.63
Element x y z (fractional)
Sc (0.000, 0.000, 0.000)
Sc (0.222, 0.222, 0.650)
Tc (0.728, 0.728, 0.142)
Ag (0.472, 0.472, 0.471)

## Properties
For the relative energy among the computed polymorphs, the calculation gives 233 meV per atom. For the total magnetization, the calculation gives 0.0 μB per cell. Its space group is No. 8. Its total energy is -26.2 eV per formula unit.

***

Below is a relaxed Sc3TcAg2 crystal, with properties calculated at the PBE level.

Unit cell a=7.429 b=7.429 c=6.875 alpha=90.00 beta=90.00 gamma=142.86
Element x y z (fractional)
Sc (0.000, 0.000, 0.234)
Sc (0.000, 0.000, 0.766)
Sc (0.327, 0.673, 0.228)
Sc (0.327, 0.673, 0.772)
Sc (0.673, 0.327, 0.228)
Sc (0.673, 0.327, 0.772)
Tc (0.164, 0.836, 0.000)
Tc (0.836, 0.164, 0.000)
Ag (0.164, 0.836, 0.500)
Ag (0.500, 0.500, 0.000)
Ag (0.500, 0.500, 0.500)
Ag (0.836, 0.164, 0.500)

## Properties
For the total magnetization, the calculation gives 0.0 μB per cell. Its space group is No. 65. Its total energy is -36.9 eV per formula unit.

***

Below is a relaxed ScTc2Ag crystal, with properties calculated at the PBE level.

Unit cell a=5.410 b=5.410 c=5.410 alpha=144.66 beta=132.63 gamma=60.46
Element x y z (fractional)
Sc (0.000, 0.000, 0.000)
Tc (0.248, 0.748, 0.500)
Tc (0.752, 0.252, 0.500)
Ag (0.500, 0.500, 0.000)

## Properties
For the relative energy among the computed polymorphs, the calculation gives 249 meV per atom. For the total magnetization, the calculation gives 0.0 μB per cell. Its space group is No. 71. Its total energy is -29.0 eV per formula unit.

***

Below is a relaxed ScTc2Ag crystal, with properties calculated at the PBE level.

Unit cell a=4.547 b=4.547 c=4.547 alpha=60.00 beta=60.00 gamma=60.00
Element x y z (fractional)
Sc (0.000, 0.000, 0.000)
Tc (0.250, 0.250, 0.250)
Tc (0.750, 0.750, 0.750)
Ag (0.500, 0.500, 0.500)

## Properties
For the relative energy among the computed polymorphs, the calculation gives 543 meV per atom. For the total magnetization, the calculation gives 0.0 μB per cell. Its space group is No. 225. Its total energy is -27.9 eV per formula unit.

***

Below is a relaxed Sc2TcAg crystal, with properties calculated at the PBE level.

Unit cell a=4.690 b=4.690 c=4.690 alpha=60.00 beta=60.00 gamma=60.00
Element x y z (fractional)
Sc (0.250, 0.250, 0.250)
Sc (0.750, 0.750, 0.750)
Tc (0.000, 0.000, 0.000)
Ag (0.500, 0.500, 0.500)

## Properties
For the relative energy among the computed polymorphs, the calculation gives 80 meV per atom. For the total magnetization, the calculation gives 0.0 μB per cell. Its space group is No. 225. Its total energy is -26.8 eV per formula unit.

***

Below is a relaxed ScTc2Ag crystal, with properties calculated at the PBE level.

Unit cell a=3.321 b=4.324 c=4.583 alpha=90.00 beta=90.00 gamma=90.00
Element x y z (fractional)
Sc (0.000, 0.000, 0.000)
Tc (0.000, 0.500, 0.500)
Tc (0.500, 0.000, 0.500)
Ag (0.500, 0.500, 0.000)

## Properties
For the relative energy among the computed polymorphs, the calculation gives 160 meV per atom. For the total magnetization, the calculation gives 0.0 μB per cell. Its space group is No. 47. Its total energy is -29.4 eV per formula unit.

***

Below is a relaxed Sc2TcAg crystal, with properties calculated at the PBE level.

Unit cell a=3.616 b=3.616 c=5.869 alpha=90.00 beta=90.00 gamma=90.00
Element x y z (fractional)
Sc (0.000, 0.000, 0.000)
Sc (0.500, 0.500, 0.317)
Tc (0.000, 0.000, 0.481)
Ag (0.500, 0.500, 0.784)

## Properties
For the relative energy among the computed polymorphs, the calculation gives 345 meV per atom. For the total magnetization, the calculation gives 0.0 μB per cell. Its space group is No. 99. Its total energy is -25.8 eV per formula unit.

***

Below is a relaxed ScTc2Ag crystal, with properties calculated at the PBE level.

Unit cell a=4.533 b=4.533 c=4.533 alpha=60.00 beta=60.00 gamma=60.00
Element x y z (fractional)
Sc (0.000, 0.000, 0.000)
Tc (0.250, 0.250, 0.250)
Tc (0.500, 0.500, 0.500)
Ag (0.750, 0.750, 0.750)

## Properties
For the relative energy among the computed polymorphs, the calculation gives 139 meV per atom. For the total magnetization, the calculation gives 0.0 μB per cell. Its space group is No. 216. Its total energy is -29.5 eV per formula unit.

***

Below is a relaxed ScTiTcAg crystal, with properties calculated at the PBE level.

Unit cell a=4.587 b=4.587 c=4.587 alpha=60.00 beta=60.00 gamma=60.00
Element x y z (fractional)
Sc (0.000, 0.000, 0.000)
Ti (0.500, 0.500, 0.500)
Tc (0.250, 0.250, 0.250)
Ag (0.750, 0.750, 0.750)

## Properties
For the total magnetization, the calculation gives 0.0 μB per cell. Its space group is No. 216. Its total energy is -28.2 eV per formula unit.

***

Below is a relaxed TmScTcAg crystal, with properties calculated at the PBE level.

Unit cell a=4.798 b=4.798 c=4.798 alpha=60.00 beta=60.00 gamma=60.00
Element x y z (fractional)
Tm (0.000, 0.000, 0.000)
Sc (0.500, 0.500, 0.500)
Tc (0.250, 0.250, 0.250)
Ag (0.750, 0.750, 0.750)

## Properties
For the total magnetization, the calculation gives 0.0 μB per cell. Its space group is No. 216. Its total energy is -24.8 eV per formula unit.

***

Results for energy relative to the elements: 0.234 0.304 -0.080 -0.298 0.219 0.513 -0.233 0.130 0.032 0.108 -0.179 -0.195 (in eV per atom, following the order of the records).